No. 1
Density functional theory data (PBE-GGA) for crystalline SmNiP2Rh2 at its relaxed geometry.

Energy of formation (meV/atom): -451.5

CIF file:
```
data_SmNiP2Rh2
_symmetry_space_group_name_H-M 'P 1'
_symmetry_Int_Tables_number 1
_symmetry_space_group_name_Hall 'P 1'
_cell_length_a 4.283
_cell_length_b 4.283
_cell_length_c 5.466
_cell_angle_alpha 90.00
_cell_angle_beta 90.00
_cell_angle_gamma 90.00
loop_
_atom_site_label
_atom_site_type_symbol
_atom_site_fract_x
_atom_site_fract_y
_atom_site_fract_z
Sm1 Sm 0.000 0.000 0.000
Ni1 Ni 0.000 0.000 0.500
P1 P 0.000 0.500 0.500
P2 P 0.500 0.000 0.500
Rh1 Rh 0.500 0.500 0.253
Rh2 Rh 0.500 0.500 0.747
```

=====

No. 2
Density functional theory data (PBE-GGA) for crystalline Sm2NiP3Rh4 at its relaxed geometry.

Energy of formation (meV/atom): -979.1

CIF file:
```
data_Sm2NiP3Rh4
_symmetry_space_group_name_H-M 'P 1'
_symmetry_Int_Tables_number 1
_symmetry_space_group_name_Hall 'P 1'
_cell_length_a 4.103
_cell_length_b 4.103
_cell_length_c 9.761
_cell_angle_alpha 90.00
_cell_angle_beta 90.00
_cell_angle_gamma 90.00
loop_
_atom_site_label
_atom_site_type_symbol
_atom_site_fract_x
_atom_site_fract_y
_atom_site_fract_z
Sm1 Sm 0.000 0.500 0.240
Sm2 Sm 0.500 0.000 0.760
Ni1 Ni 0.500 0.500 0.000
P1 P 0.000 0.000 0.000
P2 P 0.000 0.500 0.637
P3 P 0.500 0.000 0.363
Rh1 Rh 0.000 0.000 0.500
Rh2 Rh 0.000 0.500 0.871
Rh3 Rh 0.500 0.000 0.129
Rh4 Rh 0.500 0.500 0.500
```

=====

No. 3
Density functional theory data (PBE-GGA) for crystalline Sm2NiP4Rh3 at its relaxed geometry.

Energy of formation (meV/atom): -1042.3

CIF file:
```
data_Sm2NiP4Rh3
_symmetry_space_group_name_H-M 'P 1'
_symmetry_Int_Tables_number 1
_symmetry_space_group_name_Hall 'P 1'
_cell_length_a 4.155
_cell_length_b 4.155
_cell_length_c 9.426
_cell_angle_alpha 90.00
_cell_angle_beta 90.00
_cell_angle_gamma 90.00
loop_
_atom_site_label
_atom_site_type_symbol
_atom_site_fract_x
_atom_site_fract_y
_atom_site_fract_z
Sm1 Sm 0.000 0.500 0.247
Sm2 Sm 0.500 0.000 0.753
Ni1 Ni 0.000 0.000 0.500
P1 P 0.000 0.000 0.000
P2 P 0.000 0.500 0.632
P3 P 0.500 0.000 0.368
P4 P 0.500 0.500 0.000
Rh1 Rh 0.000 0.500 0.885
Rh2 Rh 0.500 0.000 0.115
Rh3 Rh 0.500 0.500 0.500
```

=====

No. 4
Density functional theory data (PBE-GGA) for crystalline Sm3NiP2Rh9 at its relaxed geometry.

Energy of formation (meV/atom): -527.1

CIF file:
```
data_Sm3NiP2Rh9
_symmetry_space_group_name_H-M 'P 1'
_symmetry_Int_Tables_number 1
_symmetry_space_group_name_Hall 'P 1'
_cell_length_a 6.115
_cell_length_b 6.115
_cell_length_c 8.456
_cell_angle_alpha 90.00
_cell_angle_beta 90.00
_cell_angle_gamma 120.00
loop_
_atom_site_label
_atom_site_type_symbol
_atom_site_fract_x
_atom_site_fract_y
_atom_site_fract_z
Sm1 Sm 0.000 0.000 0.000
Sm2 Sm 0.333 0.667 0.648
Sm3 Sm 0.667 0.333 0.352
Ni1 Ni 0.000 0.000 0.500
P1 P 0.333 0.667 0.169
P2 P 0.667 0.333 0.831
Rh1 Rh 0.000 0.500 0.000
Rh2 Rh 0.153 0.307 0.292
Rh3 Rh 0.153 0.847 0.292
Rh4 Rh 0.307 0.153 0.708
Rh5 Rh 0.500 0.000 0.000
Rh6 Rh 0.500 0.500 0.000
Rh7 Rh 0.693 0.847 0.292
Rh8 Rh 0.847 0.153 0.708
Rh9 Rh 0.847 0.693 0.708
```

=====

No. 5
Density functional theory data (PBE-GGA) for crystalline Sm2Ni4P3Rh at its relaxed geometry.

Energy of formation (meV/atom): -836.6

CIF file:
```
data_Sm2Ni4P3Rh
_symmetry_space_group_name_H-M 'P 1'
_symmetry_Int_Tables_number 1
_symmetry_space_group_name_Hall 'P 1'
_cell_length_a 3.924
_cell_length_b 3.924
_cell_length_c 9.786
_cell_angle_alpha 90.00
_cell_angle_beta 90.00
_cell_angle_gamma 90.00
loop_
_atom_site_label
_atom_site_type_symbol
_atom_site_fract_x
_atom_site_fract_y
_atom_site_fract_z
Sm1 Sm 0.000 0.500 0.247
Sm2 Sm 0.500 0.000 0.753
Ni1 Ni 0.000 0.000 0.000
Ni2 Ni 0.000 0.500 0.648
Ni3 Ni 0.500 0.000 0.352
Ni4 Ni 0.500 0.500 0.000
P1 P 0.000 0.500 0.875
P2 P 0.500 0.000 0.125
P3 P 0.500 0.500 0.500
Rh1 Rh 0.000 0.000 0.500
```

=====

No. 6
Density functional theory data (PBE-GGA) for crystalline Sm2Ni12P3Rh at its relaxed geometry.

Energy of formation (meV/atom): 22.8

CIF file:
```
data_Sm2Ni12P3Rh
_symmetry_space_group_name_H-M 'P 1'
_symmetry_Int_Tables_number 1
_symmetry_space_group_name_Hall 'P 1'
_cell_length_a 7.081
_cell_length_b 7.081
_cell_length_c 7.081
_cell_angle_alpha 65.75
_cell_angle_beta 65.75
_cell_angle_gamma 65.75
loop_
_atom_site_label
_atom_site_type_symbol
_atom_site_fract_x
_atom_site_fract_y
_atom_site_fract_z
Sm1 Sm 0.110 0.110 0.110
Sm2 Sm 0.890 0.890 0.890
Ni1 Ni 0.120 0.630 0.630
Ni2 Ni 0.160 0.160 0.602
Ni3 Ni 0.160 0.602 0.160
Ni4 Ni 0.370 0.370 0.880
Ni5 Ni 0.370 0.880 0.370
Ni6 Ni 0.398 0.840 0.840
Ni7 Ni 0.602 0.160 0.160
Ni8 Ni 0.630 0.120 0.630
Ni9 Ni 0.630 0.630 0.120
Ni10 Ni 0.840 0.398 0.840
Ni11 Ni 0.840 0.840 0.398
Ni12 Ni 0.880 0.370 0.370
P1 P 0.000 0.500 0.500
P2 P 0.500 0.000 0.500
P3 P 0.500 0.500 0.000
Rh1 Rh 0.500 0.500 0.500
```

=====

No. 7
Density functional theory data (PBE-GGA) for crystalline SrNiP2Rh at its relaxed geometry.

Energy of formation (meV/atom): -831.5

CIF file:
```
data_SrNiP2Rh
_symmetry_space_group_name_H-M 'P 1'
_symmetry_Int_Tables_number 1
_symmetry_space_group_name_Hall 'P 1'
_cell_length_a 6.373
_cell_length_b 6.373
_cell_length_c 6.373
_cell_angle_alpha 143.73
_cell_angle_beta 143.73
_cell_angle_gamma 52.23
loop_
_atom_site_label
_atom_site_type_symbol
_atom_site_fract_x
_atom_site_fract_y
_atom_site_fract_z
Sr1 Sr 0.000 0.000 0.000
Ni1 Ni 0.250 0.750 0.500
P1 P 0.355 0.355 0.000
P2 P 0.645 0.645 0.000
Rh1 Rh 0.750 0.250 0.500
```

=====

No. 8
Density functional theory data (PBE-GGA) for crystalline SrNi2PRh at its relaxed geometry.

Energy of formation (meV/atom): -334.1

CIF file:
```
data_SrNi2PRh
_symmetry_space_group_name_H-M 'P 1'
_symmetry_Int_Tables_number 1
_symmetry_space_group_name_Hall 'P 1'
_cell_length_a 4.361
_cell_length_b 4.361
_cell_length_c 4.561
_cell_angle_alpha 90.00
_cell_angle_beta 90.00
_cell_angle_gamma 90.00
loop_
_atom_site_label
_atom_site_type_symbol
_atom_site_fract_x
_atom_site_fract_y
_atom_site_fract_z
Sr1 Sr 0.000 0.000 0.000
Ni1 Ni 0.000 0.500 0.500
Ni2 Ni 0.500 0.000 0.500
P1 P 0.500 0.500 0.500
Rh1 Rh 0.500 0.500 0.000
```

=====

> Number 7 is which compound?

SrNiP2Rh

=====

> energy of formation of number 2 (Sm2NiP3Rh4)?

-979.1 meV/atom